Entry 1:
# Rb3In2I6

Rb3In2I6 after structural relaxation (PBE, Alexandria via LeMat-Bulk).

Structure (POSCAR):
```
Rb3In2I6
1.0
6.286 0.000 0.000
0.000 6.286 0.000
-3.143 -3.143 14.229
Rb In I
3 2 6
direct
0.000 0.000 0.000
0.829 0.829 0.658
0.171 0.171 0.342
0.405 0.405 0.811
0.595 0.595 0.189
0.082 0.582 0.165
0.582 0.082 0.165
0.918 0.418 0.835
0.418 0.918 0.835
0.701 0.701 0.401
0.299 0.299 0.599
```

* uncorrected formation energy: -0.9943 eV per atom

=====

Entry 2:
# Rb2In2I3

Rb2In2I3 after structural relaxation (PBE, Alexandria via LeMat-Bulk).

Structure (POSCAR):
```
Rb2In2I3
1.0
-2.640 -4.261 3.446
6.101 -0.487 4.071
-0.624 7.286 3.162
Rb In I
2 2 3
direct
0.642 0.803 0.283
0.358 0.197 0.717
0.899 0.621 0.799
0.101 0.379 0.201
0.000 0.000 0.000
0.688 0.286 0.376
0.312 0.714 0.624
```

* uncorrected formation energy: -0.7812 eV per atom

=====

Entry 3:
# RbInI4

RbInI4 after structural relaxation (PBE, Alexandria via LeMat-Bulk).

Structure (POSCAR):
```
RbInI4
1.0
15.037 0.000 0.001
-6.398 13.608 0.001
-6.398 -10.078 9.144
I Rb In
24 6 6
direct
0.962 0.115 0.910
0.910 0.962 0.115
0.115 0.910 0.962
0.615 0.462 0.410
0.410 0.615 0.462
0.462 0.410 0.615
0.078 0.331 0.784
0.784 0.078 0.331
0.331 0.784 0.078
0.831 0.578 0.284
0.284 0.831 0.578
0.578 0.284 0.831
0.615 0.006 0.547
0.547 0.615 0.006
0.006 0.547 0.615
0.506 0.115 0.047
0.047 0.506 0.115
0.115 0.047 0.506
0.793 0.844 0.475
0.475 0.793 0.844
0.844 0.475 0.793
0.344 0.293 0.975
0.975 0.344 0.293
0.293 0.975 0.344
0.876 0.690 0.095
0.095 0.876 0.690
0.690 0.095 0.876
0.190 0.376 0.595
0.595 0.190 0.376
0.376 0.595 0.190
0.864 0.075 0.681
0.681 0.864 0.075
0.075 0.681 0.864
0.575 0.364 0.181
0.181 0.575 0.364
0.364 0.181 0.575
```

* distance to the lowest polymorph of the same formula: 0.0 meV/atom
* uncorrected formation energy: -0.8752 eV per atom

=====

Entry 4:
# RbInI

RbInI after structural relaxation (PBE, Alexandria via LeMat-Bulk).

Structure (POSCAR):
```
RbInI
1.0
7.171 0.127 1.552
3.671 3.752 0.942
3.591 1.173 11.213
I Rb In
2 2 2
direct
0.861 0.057 0.331
0.139 0.943 0.669
0.382 0.071 0.296
0.618 0.929 0.704
0.862 0.363 0.024
0.138 0.637 0.976
```

* uncorrected formation energy: -0.7292 eV per atom

=====

Entry 5:
# Rb2InI4

Rb2InI4 after structural relaxation (PBE, Alexandria via LeMat-Bulk).

Structure (POSCAR):
```
Rb2InI4
1.0
-7.095 -2.863 3.995
4.563 -1.230 7.223
0.256 6.497 -4.213
Rb In I
2 1 4
direct
0.750 0.250 0.500
0.250 0.750 0.500
0.500 0.500 0.000
0.752 0.251 0.003
0.251 0.752 0.003
0.749 0.749 0.997
0.248 0.248 0.997
```

* distance to the lowest polymorph of the same formula: 63.3 meV/atom
* uncorrected formation energy: -0.9684 eV per atom

=====

Entry 6:
# RbIn3I9

RbIn3I9 after structural relaxation (PBE, Alexandria via LeMat-Bulk).

Structure (POSCAR):
```
RbIn3I9
1.0
-9.175 5.920 -3.827
-6.234 -4.203 -9.047
-11.808 -2.595 6.803
Rb In I
2 6 18
direct
0.078 0.457 0.953
0.512 0.957 0.453
0.774 0.553 0.698
0.975 0.053 0.198
0.009 0.946 0.805
0.240 0.446 0.305
0.589 0.252 0.732
0.427 0.752 0.232
0.397 0.177 0.249
0.176 0.677 0.749
0.451 0.368 0.933
0.248 0.868 0.433
0.135 0.101 0.694
0.070 0.601 0.194
0.679 0.766 0.163
0.392 0.266 0.663
0.842 0.989 0.400
0.769 0.489 0.900
0.536 0.791 0.703
0.970 0.291 0.203
0.504 0.484 0.226
0.786 0.984 0.726
0.759 0.360 0.588
0.293 0.860 0.088
0.900 0.014 0.032
0.054 0.514 0.532
```

* uncorrected formation energy: -0.5972 eV per atom

=====

Repeat the third record exactly.
# RbInI4

RbInI4 after structural relaxation (PBE, Alexandria via LeMat-Bulk).

Structure (POSCAR):
```
RbInI4
1.0
15.037 0.000 0.001
-6.398 13.608 0.001
-6.398 -10.078 9.144
I Rb In
24 6 6
direct
0.962 0.115 0.910
0.910 0.962 0.115
0.115 0.910 0.962
0.615 0.462 0.410
0.410 0.615 0.462
0.462 0.410 0.615
0.078 0.331 0.784
0.784 0.078 0.331
0.331 0.784 0.078
0.831 0.578 0.284
0.284 0.831 0.578
0.578 0.284 0.831
0.615 0.006 0.547
0.547 0.615 0.006
0.006 0.547 0.615
0.506 0.115 0.047
0.047 0.506 0.115
0.115 0.047 0.506
0.793 0.844 0.475
0.475 0.793 0.844
0.844 0.475 0.793
0.344 0.293 0.975
0.975 0.344 0.293
0.293 0.975 0.344
0.876 0.690 0.095
0.095 0.876 0.690
0.690 0.095 0.876
0.190 0.376 0.595
0.595 0.190 0.376
0.376 0.595 0.190
0.864 0.075 0.681
0.681 0.864 0.075
0.075 0.681 0.864
0.575 0.364 0.181
0.181 0.575 0.364
0.364 0.181 0.575
```

* distance to the lowest polymorph of the same formula: 0.0 meV/atom
* uncorrected formation energy: -0.8752 eV per atom